Entry from Alexandria via LeMat-Bulk: a relaxed NiHgW2 crystal (GGA-PBE).

Cell lengths 3.243, 3.243, 6.123 Å; angles 90.00, 90.00, 90.00 degrees
Positions (direct):
W 0.500 0.500 0.218
Hg 0.000 0.000 0.522
W 0.000 0.000 0.996
Ni 0.500 0.500 0.764

Properties
Energy relative to the elements ... 0.42 eV per atom
Calculated total energy ... -7.579 eV/atom

***

Entry from Alexandria via LeMat-Bulk: a relaxed KErP2S7 crystal (GGA-PBE).

Cell lengths 12.508, 9.016, 9.735 Å; angles 90.03, 90.00, 90.00 degrees
Positions (direct):
Er 0.358 0.894 0.862
S 0.534 0.932 0.324
S 0.954 0.923 0.759
P 0.609 0.476 0.269
S 0.546 0.423 0.759
S 0.441 0.713 0.640
P 0.532 0.198 0.823
S 0.811 0.646 0.853
S 0.555 0.823 0.001
P 0.968 0.698 0.823
K 0.689 0.869 0.607
K 0.811 0.369 0.607
S 0.180 0.082 0.911
K 0.189 0.631 0.393
S 0.454 0.577 0.241
S 0.786 0.113 0.363
S 0.966 0.432 0.324
P 0.391 0.524 0.731
P 0.891 0.976 0.269
S 0.466 0.068 0.676
P 0.032 0.302 0.177
S 0.311 0.854 0.147
S 0.820 0.918 0.089
S 0.055 0.677 0.999
S 0.320 0.582 0.911
Er 0.642 0.106 0.138
S 0.286 0.387 0.637
Er 0.142 0.394 0.862
S 0.214 0.887 0.637
S 0.445 0.177 0.999
P 0.109 0.024 0.731
S 0.189 0.354 0.147
K 0.311 0.131 0.393
S 0.941 0.787 0.360
S 0.046 0.077 0.241
S 0.945 0.323 0.001
P 0.468 0.802 0.177
Er 0.858 0.606 0.138
S 0.559 0.287 0.360
S 0.034 0.568 0.676
S 0.689 0.146 0.853
S 0.714 0.613 0.363
S 0.059 0.213 0.640
S 0.680 0.418 0.089

Properties
Calculated total energy ... -5.014 eV/atom
Uncorrected formation energy ... -0.889 eV per atom

***

Entry from Alexandria via LeMat-Bulk: a relaxed Sc6Sn2P crystal (GGA-PBE).

Cell lengths 3.788, 7.740, 7.740 Å; angles 120.00, 90.00, 90.00 degrees
Positions (direct):
Sn 0.000 0.667 0.333
Sc 0.000 0.000 0.246
P 0.500 0.000 0.000
Sc 0.000 0.754 0.754
Sn 0.000 0.333 0.667
Sc 0.500 0.000 0.611
Sc 0.000 0.246 0.000
Sc 0.500 0.389 0.389
Sc 0.500 0.611 0.000

Properties
Energy relative to the elements ... -0.72 eV per atom
Calculated total energy ... -6.436 eV/atom

***

Entry from Alexandria via LeMat-Bulk: a relaxed Be2FeIr2 crystal (GGA-PBE).

Cell lengths 6.329, 6.329, 2.839 Å; angles 90.00, 90.00, 90.00 degrees
Positions (direct):
Ir 0.167 0.667 0.500
Be 0.627 0.127 0.000
Ir 0.833 0.333 0.500
Be 0.127 0.373 0.000
Ir 0.667 0.833 0.500
Ir 0.333 0.167 0.500
Be 0.373 0.873 0.000
Fe 0.000 0.000 0.000
Be 0.873 0.627 0.000
Fe 0.500 0.500 0.000

Properties
Energy relative to the elements ... -0.35 eV per atom
Calculated total energy ... -7.075 eV/atom
Relative energy among the computed polymorphs ... 0 meV/atom

***

Entry from Alexandria via LeMat-Bulk: a relaxed LiUPt2 crystal (GGA-PBE).

Cell lengths 4.307, 4.307, 5.165 Å; angles 65.36, 65.36, 60.00 degrees
Positions (direct):
Pt 0.274 0.274 0.178
Pt 0.726 0.726 0.822
U 0.500 0.500 0.500
Li 0.000 0.000 0.000

Properties
Energy relative to the elements ... -0.64 eV per atom
Calculated total energy ... -6.962 eV/atom

***

Entry from Alexandria via LeMat-Bulk: a relaxed AlZn2Re crystal (GGA-PBE).

Cell lengths 4.982, 4.982, 4.647 Å; angles 83.66, 83.66, 31.11 degrees
Positions (direct):
Re 0.250 0.250 0.250
Zn 0.509 0.509 0.492
Al 0.750 0.750 0.750
Zn 0.991 0.991 0.008

Properties
Energy relative to the elements ... 0.03 eV per atom
Calculated total energy ... -4.655 eV/atom

***

Entry from Alexandria via LeMat-Bulk: a relaxed Sr2In4Pd3Au crystal (GGA-PBE).

Cell lengths 4.852, 4.852, 10.452 Å; angles 90.00, 90.00, 90.00 degrees
Positions (direct):
Pd 0.000 0.500 0.121
In 0.500 0.000 0.626
In 0.000 0.500 0.374
In 0.000 0.000 0.000
Pd 0.000 0.000 0.500
Sr 0.000 0.500 0.738
Au 0.500 0.500 0.500
In 0.500 0.500 0.000
Sr 0.500 0.000 0.262
Pd 0.500 0.000 0.879

Properties
Energy relative to the elements ... -0.58 eV per atom
Calculated total energy ... -3.902 eV/atom

***

Entry from Alexandria via LeMat-Bulk: a relaxed TbNd2Er4Tm crystal (GGA-PBE).

Cell lengths 9.481, 9.481, 11.773 Å; angles 128.38, 128.38, 88.48 degrees
Positions (direct):
Nd 0.000 0.000 0.500
Tb 0.000 0.500 0.500
Er 0.756 0.246 0.001
Er 0.752 0.750 0.506
Tm 0.000 0.000 0.000
Tb 0.000 0.500 0.000
Tm 0.500 0.500 0.500
Er 0.746 0.256 0.501
Er 0.248 0.250 0.494
Er 0.254 0.744 0.499
Nd 0.500 0.000 0.000
Nd 0.500 0.000 0.500
Nd 0.500 0.500 0.000
Er 0.244 0.754 0.999
Er 0.750 0.748 0.994
Er 0.250 0.252 0.006

Properties
Energy relative to the elements ... 0.43 eV per atom
Calculated total energy ... -4.181 eV/atom

***

Entry from Alexandria via LeMat-Bulk: a relaxed Tb2Y2ErTm crystal (GGA-PBE).

Cell lengths 5.600, 7.001, 9.639 Å; angles 90.00, 90.00, 90.00 degrees
Positions (direct):
Tm 0.500 0.258 0.676
Tb 0.500 0.258 0.345
Tb 0.500 0.758 0.655
Y 0.000 0.758 0.842
Er 0.000 0.007 0.500
Tm 0.500 0.758 0.324
Tb 0.000 0.258 0.821
Y 0.500 0.508 0.000
Er 0.000 0.507 0.500
Y 0.500 0.008 0.000
Y 0.000 0.258 0.158
Tb 0.000 0.758 0.179

Properties
Energy relative to the elements ... 0.07 eV per atom
Calculated total energy ... -5.136 eV/atom

***

Entry from Alexandria via LeMat-Bulk: a relaxed LiMnCo2 crystal (GGA-PBE).

Cell lengths 2.492, 2.492, 8.557 Å; angles 90.00, 90.00, 114.00 degrees
Positions (direct):
Li 0.000 0.000 0.492
Co 0.500 0.500 0.237
Mn 0.500 0.500 0.766
Co 0.000 0.000 0.005

Properties
Energy relative to the elements ... 0.22 eV per atom
Calculated total energy ... -6.108 eV/atom
Relative energy among the computed polymorphs ... 69 meV/atom

***

Entry from Alexandria via LeMat-Bulk: a relaxed Ca4Ni3C5 crystal (GGA-PBE).

Cell lengths 3.766, 5.874, 9.385 Å; angles 76.02, 78.44, 71.29 degrees
Positions (direct):
C 0.673 0.264 0.390
Ca 0.899 0.804 0.399
Ni 0.000 0.000 0.000
Ca 0.744 0.675 0.837
Ca 0.256 0.325 0.163
C 0.327 0.736 0.610
Ni 0.459 0.247 0.836
Ca 0.101 0.196 0.601
C 0.602 0.485 0.311
C 0.398 0.515 0.689
C 0.500 0.000 0.000
Ni 0.541 0.753 0.164

Properties
Energy relative to the elements ... -0.18 eV per atom
Calculated total energy ... -6.138 eV/atom

***

Entry from Alexandria via LeMat-Bulk: a relaxed CsCu2P2S6 crystal (GGA-PBE).

Cell lengths 8.337, 8.321, 6.875 Å; angles 103.48, 84.01, 45.10 degrees
Positions (direct):
P 0.138 0.807 0.859
Cu 0.791 0.289 0.713
S 0.453 0.690 0.750
Cs 0.500 0.000 0.500
S 0.547 0.310 0.250
S 0.047 0.098 0.351
S 0.953 0.902 0.649
P 0.862 0.193 0.141
S 0.848 0.402 0.023
Cu 0.209 0.711 0.287
S 0.152 0.598 0.977

Properties
Calculated total energy ... -4.470 eV/atom
Uncorrected formation energy ... -0.413 eV per atom